The following is a PBE calculation of a relaxed structure of LaReTc3, from Alexandria.

Values from the calculation:
Space group: Pm-3m, No. 221
Offset from the most stable computed form, meV per atom: 0
Total DFT energy (no corrections), Ha/atom: -0.3240

Cell: 4.768 4.768 4.768 Å, 90.00 90.00 90.00°
Atoms (fractional coordinates):
La (0.000, 0.000, 0.000)
Re (0.500, 0.500, 0.500)
Tc (0.000, 0.500, 0.500)
Tc (0.500, 0.000, 0.500)
Tc (0.500, 0.500, 0.000)